BSeI3 | PBEsol | optimized geometry

Energy above the lowest structure with this stoichiometry: 290 meV/atom
E_form (uncorrected): 1124 meV/atom

abc: 5.6105 5.6105 5.6105
angles: 90.00 90.00 90.00
Last column: nearest neighbours and their distance in Å.
Atoms (fractional coordinates):
I 0.0000 0.5000 0.0000  2 Se 2.81
B 0.5000 0.5000 0.5000  12 I 3.97
I 0.0000 0.0000 0.5000  2 Se 2.81
Se 0.0000 0.0000 0.0000  6 I 2.81
I 0.5000 0.0000 0.0000  2 Se 2.81



BTeSeI2 | PBEsol | optimized geometry

E_form (uncorrected): 1257 meV/atom

abc: 5.5391 5.5203 5.5203
angles: 90.00 90.00 90.00
Last column: nearest neighbours and their distance in Å.
Atoms (fractional coordinates):
B 0.5000 0.5000 0.5000  4 Te 3.90, 8 I 3.91
I 0.0000 0.5000 0.0000  2 Se 2.76
Se 0.0000 0.0000 0.0000  4 I 2.76, 2 Te 2.77
I 0.0000 0.0000 0.5000  2 Se 2.76
Te 0.5000 0.0000 0.0000  2 Se 2.77



SnB3I | PBEsol | optimized geometry

E_form (uncorrected): 2015 meV/atom

abc: 4.6009 4.6009 4.6009
angles: 90.00 90.00 90.00
Last column: nearest neighbours and their distance in Å.
Atoms (fractional coordinates):
B 0.0000 0.5000 0.0000  2 Sn 2.30
Sn 0.0000 0.0000 0.0000  6 B 2.30
B 0.0000 0.0000 0.5000  2 Sn 2.30
B 0.5000 0.0000 0.0000  2 Sn 2.30
I 0.5000 0.5000 0.5000  12 B 3.25



Sn3BI | PBEsol | optimized geometry

E_form (uncorrected): 569 meV/atom

abc: 4.9691 4.9691 4.9691
angles: 90.00 90.00 90.00
Last column: nearest neighbours and their distance in Å.
Atoms (fractional coordinates):
I 0.5000 0.5000 0.5000  12 Sn 3.51
B 0.0000 0.0000 0.0000  6 Sn 2.48
Sn 0.0000 0.5000 0.0000  2 B 2.48
Sn 0.0000 0.0000 0.5000  2 B 2.48
Sn 0.5000 0.0000 0.0000  2 B 2.48



SnBTeI2 | PBEsol | optimized geometry

E_form (uncorrected): 1122 meV/atom

abc: 5.6958 5.8529 5.8529
angles: 90.00 90.00 90.00
Last column: nearest neighbours and their distance in Å.
Atoms (fractional coordinates):
Te 0.5000 0.0000 0.0000  2 Sn 2.85
Sn 0.0000 0.0000 0.0000  2 Te 2.85, 4 I 2.93
I 0.0000 0.0000 0.5000  2 Sn 2.93
I 0.0000 0.5000 0.0000  2 Sn 2.93
B 0.5000 0.5000 0.5000  8 I 4.08, 4 Te 4.14



SrBI2 | PBEsol | optimized geometry

E_form (uncorrected): 286 meV/atom

abc: 5.6311 5.6311 10.0314
angles: 106.30 106.30 90.00
Last column: nearest neighbours and their distance in Å.
Atoms (fractional coordinates):
I 0.8333 0.3750 0.2500  2 B 2.94, 2 Sr 3.16
B 0.7500 0.2500 0.5000  4 I 2.94
Sr 0.0000 0.0000 0.0000  4 I 3.16
Sr 0.2500 0.7500 0.5000  4 I 3.16
I 0.6250 0.5833 0.7500  2 B 2.94, 2 Sr 3.16
B 0.5000 0.5000 0.0000  4 I 2.94
I 0.1250 0.1667 0.7500  2 B 2.94, 2 Sr 3.16
I 0.4167 0.8750 0.2500  2 B 2.94, 2 Sr 3.16



Sr3BI | PBEsol | optimized geometry

E_form (uncorrected): 793 meV/atom

abc: 6.0303 6.0303 6.0303
angles: 90.00 90.00 90.00
Last column: nearest neighbours and their distance in Å.
Atoms (fractional coordinates):
Sr 0.0000 0.5000 0.0000  2 I 3.02
I 0.0000 0.0000 0.0000  6 Sr 3.02
B 0.5000 0.5000 0.5000  12 Sr 4.26
Sr 0.5000 0.0000 0.0000  2 I 3.02
Sr 0.0000 0.0000 0.5000  2 I 3.02



SrB2I | PBEsol | optimized geometry

E_form (uncorrected): 1398 meV/atom

abc: 4.8209 4.8209 4.8209
angles: 60.00 60.00 60.00
Last column: nearest neighbours and their distance in Å.
Atoms (fractional coordinates):
B 0.7500 0.7500 0.7500  4 I 2.95, 4 Sr 2.95
Sr 0.0000 0.0000 0.0000  8 B 2.95
I 0.5000 0.5000 0.5000  8 B 2.95
B 0.2500 0.2500 0.2500  4 I 2.95, 4 Sr 2.95



TaB2I | PBEsol | optimized geometry

E_form (uncorrected): 1750 meV/atom

abc: 4.2715 4.2715 4.2715
angles: 60.00 60.00 60.00
Last column: nearest neighbours and their distance in Å.
Atoms (fractional coordinates):
Ta 0.5000 0.5000 0.5000  8 B 2.62
I 0.0000 0.0000 0.0000  8 B 2.62
B 0.7500 0.7500 0.7500  4 I 2.62, 4 Ta 2.62
B 0.2500 0.2500 0.2500  4 I 2.62, 4 Ta 2.62



BTeI3 | PBEsol | optimized geometry

E_form (uncorrected): 696 meV/atom

abc: 5.0587 5.0587 5.0587
angles: 90.00 90.00 90.00
Last column: nearest neighbours and their distance in Å.
Atoms (fractional coordinates):
B 0.0000 0.0000 0.0000  6 I 2.53
I 0.5000 0.0000 0.0000  2 B 2.53
I 0.0000 0.5000 0.0000  2 B 2.53
I 0.0000 0.0000 0.5000  2 B 2.53
Te 0.5000 0.5000 0.5000  12 I 3.58



BTe2WI | PBEsol | optimized geometry

E_form (uncorrected): 1462 meV/atom

abc: 4.6809 4.7118 4.7118
angles: 90.00 90.00 90.00
Last column: nearest neighbours and their distance in Å.
Atoms (fractional coordinates):
W 0.5000 0.5000 0.5000  8 Te 3.32, 4 I 3.33
I 0.5000 0.0000 0.0000  2 B 2.34
B 0.0000 0.0000 0.0000  2 I 2.34, 4 Te 2.36
Te 0.0000 0.0000 0.5000  2 B 2.36
Te 0.0000 0.5000 0.0000  2 B 2.36



BTeWI2 | PBEsol | optimized geometry

E_form (uncorrected): 1090 meV/atom

abc: 4.2009 5.3755 5.3755
angles: 90.00 90.00 90.00
Last column: nearest neighbours and their distance in Å.
Atoms (fractional coordinates):
Te 0.5000 0.5000 0.5000  8 I 3.41, 4 B 3.80
W 0.0000 0.0000 0.0000  2 B 2.10
B 0.5000 0.0000 0.0000  2 W 2.10
I 0.0000 0.0000 0.5000  2 W 2.69
I 0.0000 0.5000 0.0000  2 W 2.69



YBTeI2 | PBEsol | optimized geometry

E_form (uncorrected): 572 meV/atom

abc: 5.1037 5.8183 5.8183
angles: 90.00 90.00 90.00
Last column: nearest neighbours and their distance in Å.
Atoms (fractional coordinates):
Y 0.0000 0.0000 0.0000  2 B 2.55
B 0.5000 0.0000 0.0000  2 Y 2.55
Te 0.5000 0.5000 0.5000  8 I 3.87, 4 B 4.11
I 0.0000 0.5000 0.0000  2 Y 2.91
I 0.0000 0.0000 0.5000  2 Y 2.91



Zr6BI12 | PBEsol | optimized geometry

E_form (uncorrected): -989 meV/atom

abc: 8.9655 8.9655 8.9655
angles: 107.16 107.16 107.16
Last column: nearest neighbours and their distance in Å.
Atoms (fractional coordinates):
Zr 0.2812 0.0927 0.0286  1 B 2.32
I 0.0801 0.6853 0.2299  2 Zr 2.90-2.94
Zr 0.0286 0.2812 0.0927  1 B 2.32
I 0.8518 0.6230 0.5466  2 Zr 2.85-2.86
Zr 0.9073 0.9714 0.7188  1 B 2.32
Zr 0.7188 0.9073 0.9714  1 B 2.32
Zr 0.9714 0.7188 0.9073  1 B 2.32
B 0.0000 0.0000 0.0000  6 Zr 2.32
I 0.3770 0.4534 0.1482  2 Zr 2.85-2.86
I 0.4534 0.1482 0.3770  2 Zr 2.85-2.86
I 0.6230 0.5466 0.8518  2 Zr 2.85-2.86
I 0.3147 0.7701 0.9199  2 Zr 2.90-2.94
I 0.5466 0.8518 0.6230  2 Zr 2.85-2.86
I 0.7701 0.9199 0.3147  2 Zr 2.90-2.94
I 0.2299 0.0801 0.6853  2 Zr 2.90-2.94
Zr 0.0927 0.0286 0.2812  1 B 2.32
I 0.1482 0.3770 0.4534  2 Zr 2.85-2.86
I 0.6853 0.2299 0.0801  2 Zr 2.90-2.94
I 0.9199 0.3147 0.7701  2 Zr 2.90-2.94



Zr3BI | PBEsol | optimized geometry

E_form (uncorrected): 1824 meV/atom

abc: 5.1298 5.1298 5.1298
angles: 90.00 90.00 90.00
Last column: nearest neighbours and their distance in Å.
Atoms (fractional coordinates):
B 0.5000 0.5000 0.5000  12 Zr 3.63
I 0.0000 0.0000 0.0000  6 Zr 2.56
Zr 0.5000 0.0000 0.0000  2 I 2.56
Zr 0.0000 0.5000 0.0000  2 I 2.56
Zr 0.0000 0.0000 0.5000  2 I 2.56



InB2Ir2 | PBEsol | optimized geometry

Energy of formation from the pure elements: -0.2114 eV per atom

abc: 2.9306 2.9306 7.5432
angles: 101.20 101.20 90.00
Last column: nearest neighbours and their distance in Å.
Atoms (fractional coordinates):
B 0.2500 0.7500 0.5000  4 B 2.07, 4 Ir 2.14
In 0.0000 0.0000 0.0000  8 Ir 2.93, 4 In 2.93
Ir 0.3573 0.3573 0.7146  4 B 2.14
B 0.7500 0.2500 0.5000  4 B 2.07, 4 Ir 2.14
Ir 0.6427 0.6427 0.2854  4 B 2.14



In5B4Ir9 | PBEsol | optimized geometry

Energy of formation from the pure elements: -0.2151 eV per atom

abc: 5.5769 5.5769 10.2966
angles: 90.00 90.00 120.00
Last column: nearest neighbours and their distance in Å.
Atoms (fractional coordinates):
B 0.3333 0.6667 0.1465  6 Ir 2.10-2.21
B 0.6667 0.3333 0.8535  6 Ir 2.10-2.21
B 0.3333 0.6667 0.8535  6 Ir 2.10-2.21
In 0.0000 0.0000 0.6558  6 Ir 2.74-3.01
Ir 0.4757 0.0000 0.7236  2 B 2.10
Ir 0.5243 0.5243 0.2764  2 B 2.10
Ir 0.4757 0.0000 0.2764  2 B 2.10
Ir 0.4788 0.0000 0.0000  4 B 2.21
Ir 0.0000 0.4788 0.0000  4 B 2.21
In 0.6667 0.3333 0.5000  6 Ir 2.81
In 0.0000 0.0000 0.3442  6 Ir 2.74-3.01
In 0.0000 0.0000 0.0000  6 Ir 2.67-2.91
Ir 0.5212 0.5212 0.0000  4 B 2.21
In 0.3333 0.6667 0.5000  6 Ir 2.81
B 0.6667 0.3333 0.1465  6 Ir 2.10-2.21
Ir 0.0000 0.4757 0.7236  2 B 2.10
Ir 0.0000 0.4757 0.2764  2 B 2.10
Ir 0.5243 0.5243 0.7236  2 B 2.10



K2InB | PBEsol | optimized geometry

Energy of formation from the pure elements: 1.0950 eV per atom

abc: 5.4953 5.4953 5.4953
angles: 60.00 60.00 60.00
Last column: nearest neighbours and their distance in Å.
Atoms (fractional coordinates):
K 0.2500 0.2500 0.2500  4 In 3.37, 4 B 3.37
K 0.7500 0.7500 0.7500  4 In 3.37, 4 B 3.37
In 0.5000 0.5000 0.5000  8 K 3.37
B 0.0000 0.0000 0.0000  8 K 3.37



KInB3 | PBEsol | optimized geometry

Energy of formation from the pure elements: 3.0985 eV per atom

abc: 4.7043 4.7043 4.7043
angles: 90.00 90.00 90.00
Last column: nearest neighbours and their distance in Å.
Atoms (fractional coordinates):
B 0.0000 0.5000 0.0000  2 K 2.35
In 0.5000 0.5000 0.5000  12 B 3.33
K 0.0000 0.0000 0.0000  6 B 2.35
B 0.0000 0.0000 0.5000  2 K 2.35
B 0.5000 0.0000 0.0000  2 K 2.35



La3InB | PBEsol | optimized geometry

Energy of formation from the pure elements: -0.1509 eV per atom

abc: 5.2476 5.2476 5.2476
angles: 90.00 90.00 90.00
Last column: nearest neighbours and their distance in Å.
Atoms (fractional coordinates):
La 0.0000 0.0000 0.5000  2 B 2.62
In 0.5000 0.5000 0.5000  12 La 3.71
B 0.0000 0.0000 0.0000  6 La 2.62
La 0.5000 0.0000 0.0000  2 B 2.62
La 0.0000 0.5000 0.0000  2 B 2.62